Record 1
This record from Alexandria describes a relaxed structure of Tb3NdP4. The functional is PBE.

Cell lengths 7.038, 7.038, 4.065 Å; angles 90.00, 90.00, 109.45 degrees
Fractional coordinates of all 8 atoms:
Tb1 0.000 0.000 0.000
Tb2 0.000 0.500 0.500
Tb3 0.500 0.000 0.500
Nd1 0.500 0.500 0.000
P1 0.244 0.244 0.500
P2 0.247 0.753 0.000
P3 0.753 0.247 0.000
P4 0.756 0.756 0.500

Output
spin magnetization	0.000	μB per formula unit
symmetry	Cmmm
energy of formation from the pure elements	-1.588	eV per atom
calculated volume	189.9	Å³/cell
E_tot	-53.00	eV per cell



Record 2
This record from Alexandria describes a relaxed structure of LaDyY5. The functional is PBE.

Cell lengths 8.550, 8.550, 6.981 Å; angles 102.77, 102.77, 96.38 degrees
Fractional coordinates of all 14 atoms:
La1 0.156 0.844 0.750
La2 0.844 0.156 0.250
Dy1 0.000 0.500 0.000
Dy2 0.500 0.000 0.500
Y1 0.106 0.894 0.250
Y2 0.226 0.283 0.639
Y3 0.283 0.226 0.139
Y4 0.339 0.604 0.466
Y5 0.396 0.661 0.034
Y6 0.604 0.339 0.966
Y7 0.661 0.396 0.534
Y8 0.717 0.774 0.861
Y9 0.774 0.717 0.361
Y10 0.894 0.106 0.750

Output
spin magnetization	0.003	μB per formula unit
symmetry	C2/c
energy of formation from the pure elements	0.193	eV per atom
calculated volume	478.4	Å³/cell
E_tot	-81.00	eV per cell



Record 3
This record from Alexandria describes a relaxed structure of TaSnSe2Br. The functional is PBE.

Cell lengths 5.255, 5.255, 5.228 Å; angles 90.00, 90.00, 90.00 degrees
Fractional coordinates of all 5 atoms:
Ta1 0.000 0.000 0.000
Sn1 0.500 0.500 0.500
Se1 0.000 0.500 0.500
Se2 0.500 0.000 0.500
Br1 0.500 0.500 0.000

Output
spin magnetization	0.212	μB per formula unit
ΔE_f (raw)	5.71	eV per formula unit
symmetry	P4/mmm
calculated volume	144.4	Å³/cell
E above lowest polymorph	1253	meV per atom
E_tot	-18.79	eV per cell



Record 4
This record from Alexandria describes a relaxed structure of Dy3Er2Au3. The functional is PBE.

Cell lengths 11.167, 11.167, 11.167 Å; angles 161.34, 153.16, 32.89 degrees
Fractional coordinates of all 8 atoms:
Dy1 0.000 0.000 0.000
Dy2 0.382 0.882 0.500
Dy3 0.618 0.118 0.500
Er1 0.229 0.229 0.000
Er2 0.771 0.771 0.000
Au1 0.119 0.619 0.500
Au2 0.500 0.500 0.000
Au3 0.881 0.381 0.500

Output
spin magnetization	0.000	μB per formula unit
symmetry	Immm
energy of formation from the pure elements	-0.641	eV per atom
calculated volume	201.0	Å³/cell
E_tot	-37.90	eV per cell



Record 5
This record from Alexandria describes a relaxed structure of DyHo4. The functional is PBE.

Cell lengths 5.584, 5.584, 5.584 Å; angles 90.00, 90.00, 90.00 degrees
Fractional coordinates of all 5 atoms:
Dy1 0.000 0.000 0.000
Ho1 0.000 0.000 0.500
Ho2 0.000 0.500 0.000
Ho3 0.500 0.000 0.000
Ho4 0.500 0.500 0.500

Output
spin magnetization	0.003	μB per formula unit
symmetry	Pm-3m
energy of formation from the pure elements	0.731	eV per atom
calculated volume	174.1	Å³/cell
E above lowest polymorph	710	meV per atom
E_tot	-19.26	eV per cell



Record 6
This record from Alexandria describes a relaxed structure of TiPd3. The functional is PBE.

Cell lengths 5.569, 5.569, 4.516 Å; angles 90.00, 90.00, 120.00 degrees
Fractional coordinates of all 8 atoms:
Ti1 0.333 0.667 0.250
Ti2 0.667 0.333 0.750
Pd1 0.168 0.335 0.750
Pd2 0.168 0.832 0.750
Pd3 0.335 0.168 0.250
Pd4 0.665 0.832 0.750
Pd5 0.832 0.168 0.250
Pd6 0.832 0.665 0.250

Output
spin magnetization	0.000	μB per formula unit
symmetry	P6_3/mmc
energy of formation from the pure elements	-0.625	eV per atom
calculated volume	121.3	Å³/cell
E_tot	-51.94	eV per cell



Record 7
This record from Alexandria describes a relaxed structure of LaSi. The functional is PBE.

Cell lengths 6.021, 6.021, 6.021 Å; angles 51.23, 51.23, 51.23 degrees
Fractional coordinates of all 4 atoms:
La1 0.239 0.239 0.239
La2 0.761 0.761 0.761
Si1 0.426 0.426 0.426
Si2 0.574 0.574 0.574

Output
spin magnetization	0.000	μB per formula unit
ΔE_f (raw)	-0.83	eV per formula unit
symmetry	R-3m
calculated volume	122.5	Å³/cell
E_tot	-22.36	eV per cell



Record 8
This record from Alexandria describes a relaxed structure of LiMnBiBr2. The functional is PBE.

Cell lengths 4.791, 4.791, 5.889 Å; angles 90.00, 90.00, 90.00 degrees
Fractional coordinates of all 5 atoms:
Li1 0.000 0.000 0.000
Mn1 0.500 0.500 0.500
Bi1 0.000 0.000 0.500
Br1 0.000 0.500 0.000
Br2 0.500 0.000 0.000

Output
spin magnetization	3.917	μB per formula unit
ΔE_f (raw)	0.16	eV per formula unit
symmetry	P4/mmm
calculated volume	135.2	Å³/cell
E_tot	-18.15	eV per cell